[1]
Compound: Pm2SiH
Source: Alexandria
Functional: PBE
Structure: optimized geometry

Cell lengths 6.2473, 6.2473, 8.2350 Å; angles 90.00, 90.00, 120.00 degrees
With the nearest neighbours (Å) after each atom.
Space group P3_121 (No. 152)
Unique sites:
Pm 0.1075 0.3929 0.3781 (multiplicity 6)  2 H 2.22-2.26
Si 0.0000 0.5944 0.6667 (multiplicity 3)  4 Pm 2.92-2.93
H 0.0000 0.5501 0.1667 (multiplicity 3)  4 Pm 2.22-2.26

Values from the calculation:
E_tot	-4.97	eV/atom
relative energy among the computed polymorphs	0.057	eV per atom
volume	278	Å³/cell
DOS at the Fermi energy	7.8	states/eV per cell
theoretical density	5.71	g/cm³
total magnetic moment	0.000	μB/f.u.

---

[2]
Compound: Pm6Si3H2
Source: Alexandria
Functional: PBE
Structure: optimized geometry

Cell lengths 4.6363, 4.6363, 23.9993 Å; angles 90.00, 90.00, 90.00 degrees
With the nearest neighbours (Å) after each atom.
Space group I4/mmm (No. 139)
Unique sites:
Pm 0.0000 0.0000 0.2027 (multiplicity 4)  1 H 2.44
Pm 0.0000 0.5000 0.0800 (multiplicity 8)  2 H 2.37
Si 0.0000 0.0000 0.3284 (multiplicity 4)  9 Pm 3.02-3.36
Si 0.0000 0.0000 0.5000 (multiplicity 2)  8 Pm 3.01
H 0.0000 0.0000 0.1010 (multiplicity 4)  5 Pm 2.37-2.44

Values from the calculation:
E_tot	-5.16	eV/atom
volume	516	Å³/cell
DOS at the Fermi energy	19.9	states/eV per cell
theoretical density	6.16	g/cm³
total magnetic moment	0.000	μB/f.u.